# BaSm4Pb3O12 PBE-GGA optimized geometry
data_BaSm4Pb3O12
_symmetry_space_group_name_H-M 'P 1'
_symmetry_Int_Tables_number 1
_cell_length_a 7.5861
_cell_length_b 7.5861
_cell_length_c 7.5861
_cell_angle_alpha 109.47
_cell_angle_beta 109.47
_cell_angle_gamma 109.47
loop_
_symmetry_equiv_pos_as_xyz
'x,y,z'
loop_
_atom_site_label
_atom_site_fract_x
_atom_site_fract_y
_atom_site_fract_z
Sm1 0.0000 0.5000 0.0000
O1 0.5178 0.6918 0.8260
O2 0.8658 0.6918 0.1740
O3 0.4822 0.3082 0.1740
Sm2 0.5000 0.5000 0.5000
O4 0.6918 0.8260 0.5178
O5 0.3082 0.8260 0.1342
O6 0.1740 0.4822 0.3082
Sm3 0.5000 0.0000 0.0000
O7 0.6918 0.1740 0.8658
O8 0.1342 0.3082 0.8260
O9 0.1740 0.8658 0.6918
O10 0.3082 0.1740 0.4822
O11 0.8260 0.5178 0.6918
O12 0.8260 0.1342 0.3082
Pb1 0.5000 0.0000 0.5000
Pb2 0.5000 0.5000 0.0000
Pb3 0.0000 0.5000 0.5000
Ba1 0.0000 0.0000 0.0000
Sm4 0.0000 0.0000 0.5000
# M_tot in μB per formula unit: 1.84
# Total DFT energy (no corrections) in eV per atom: -6.797